# PaHg3

An optimized crystal structure of PaHg3 (PBE, Alexandria via LeMat-Bulk).

a = 3.100 Å, b = 3.104 Å, c = 10.473 Å
α = 90.00°, β = 90.00°, γ = 90.00°
Element x y z (fractional)
Pa 0.000 0.000 0.000
Hg 0.000 0.500 0.489
Hg 0.500 0.000 0.730
Hg 0.500 0.500 0.235

crystal system: orthorhombic
electronic total energy: -9.65 eV for the cell shown
relative energy among the computed polymorphs: 0.1042 eV/atom
magnetic moment: 0.7 μB/f.u.
ΔE_f: 189 meV/atom


# K2TiBr

An optimized crystal structure of K2TiBr (PBE, Alexandria via LeMat-Bulk).

a = 6.148 Å, b = 6.148 Å, c = 6.148 Å
α = 60.00°, β = 60.00°, γ = 60.00°
Element x y z (fractional)
K 0.250 0.250 0.250
K 0.750 0.750 0.750
Ti 0.000 0.000 0.000
Br 0.500 0.500 0.500

crystal system: cubic
E_form (uncorrected): 97 kJ/mol of formula units
electronic total energy: -10.76 eV for the cell shown
relative energy among the computed polymorphs: 0.1369 eV/atom
magnetic moment: 3.0 μB/f.u.


# Sm6Dy2Rh

An optimized crystal structure of Sm6Dy2Rh (PBE, Alexandria via LeMat-Bulk).

a = 3.754 Å, b = 8.656 Å, c = 8.946 Å
α = 92.63°, β = 90.04°, γ = 90.04°
Element x y z (fractional)
Sm 0.000 0.062 0.223
Sm 0.000 0.938 0.777
Sm 0.002 0.529 0.695
Sm 0.500 0.266 0.942
Sm 0.500 0.734 0.058
Sm 0.998 0.471 0.305
Dy 0.500 0.200 0.536
Dy 0.500 0.800 0.464
Rh 0.000 0.500 0.000

crystal system: triclinic
electronic total energy: -46.01 eV for the cell shown
magnetic moment: 0.0 μB/f.u.
ΔE_f: -126 meV/atom